Entry from Alexandria: K5Mo4 after structural relaxation (PBE-GGA).

## Properties
Total DFT energy (no corrections) (eV per atom): -4.290
ρ (g/cm³): 2.13
Crystal system: hexagonal
Calculated formation energy (eV per atom): 1.133

Structure (CIF):
```
data_K5Mo4
_chemical_formula_sum 'K10 Mo8'
_cell_length_a 11.195
_cell_length_b 11.195
_cell_length_c 8.333
_cell_angle_alpha 90.00
_cell_angle_beta 90.00
_cell_angle_gamma 120.00
_space_group_name_H-M_alt 'P 1'
_space_group_IT_number 1
_space_group_name_Hall 'P 1'
loop_
_atom_site_label
_atom_site_type_symbol
_atom_site_fract_x
_atom_site_fract_y
_atom_site_fract_z
K1 K 0.640 0.640 0.750
K2 K 0.667 0.333 0.000
Mo1 Mo 0.130 0.000 0.250
K3 K 0.000 0.360 0.750
Mo2 Mo 0.130 0.130 0.750
K4 K 0.667 0.333 0.500
Mo3 Mo 0.000 0.130 0.250
K5 K 0.333 0.667 0.500
Mo4 Mo 0.870 0.870 0.250
K6 K 0.360 0.000 0.750
K7 K 0.360 0.360 0.250
Mo5 Mo 0.000 0.870 0.750
K8 K 0.333 0.667 0.000
Mo6 Mo 0.000 0.000 0.000
Mo7 Mo 0.870 0.000 0.750
Mo8 Mo 0.000 0.000 0.500
K9 K 0.640 0.000 0.250
K10 K 0.000 0.640 0.250
```